DFT (PBE) results for a relaxed structure of PmSi3OsPt.

## Properties
M_tot	0.000	μB per cell
Fermi-level density of states	11.43	states/eV per cell
electronic total energy	-6.8573	eV/atom
E_form (uncorrected)	-0.48	eV per atom

Cell and atoms, written as CIF:
```
data_PmSi3OsPt
_cell_length_a 6.240
_cell_length_b 13.606
_cell_length_c 5.739
_cell_angle_alpha 90.00
_cell_angle_beta 90.00
_cell_angle_gamma 90.00
_symmetry_space_group_name_H-M 'C m c m'
_symmetry_Int_Tables_number 63
_symmetry_space_group_name_Hall '-C 2c 2'
loop_
_atom_site_label
_atom_site_type_symbol
_atom_site_fract_x
_atom_site_fract_y
_atom_site_fract_z
Pm1 Pm 0.000 0.189 0.250
Si1 Si 0.000 0.229 0.750
Si2 Si 0.204 0.500 0.000
Os1 Os 0.000 0.394 0.750
Pt1 Pt 0.000 0.061 0.750
```